The following is a DFT calculation (PBE-GGA) of a relaxed SnPdRh3 crystal.

Cell and atoms, written as CIF:
```
data_SnPdRh3
_symmetry_space_group_name_H-M 'P m -3 m'
_symmetry_Int_Tables_number 221
_symmetry_space_group_name_Hall '-P 4 2 3'
_cell_length_a 4.751
_cell_length_b 4.751
_cell_length_c 4.751
_cell_angle_alpha 90.00
_cell_angle_beta 90.00
_cell_angle_gamma 90.00
loop_
_atom_site_label
_atom_site_fract_x
_atom_site_fract_y
_atom_site_fract_z
Sn1 0.000 0.000 0.000
Pd1 0.500 0.500 0.500
Rh1 0.000 0.500 0.500
```

Computed properties:
Magnetization: 1.6 μB/f.u.
DFT formation energy: 5.99 eV/f.u.
D(E_F): 7.38 states/eV/cell